This record from OQMD via LeMat-Bulk describes crystalline Mg2Mo at its relaxed geometry. The functional is PBE-GGA.

Output
Electronic total energy (Ry/atom): -0.324
Space-group type: Cmcm (63)
Energy above the most stable polymorph in this dataset (kJ/mol of formula units): 2

Cell lengths 16.5621, 2.8422, 4.7251 Å; angles 90.00, 90.00, 90.00 degrees
Closest atoms and distances in Å follow each position.
Positions (direct):
Mg 0.0158 0.0000 0.0000  8 Mg 2.84-3.11, 2 Mo 3.09
Mg 0.6117 0.5000 0.5000  4 Mg 2.84-2.85, 6 Mo 2.88-2.99
Mg 0.5158 0.5000 0.0000  8 Mg 2.84-3.11, 2 Mo 3.09
Mg 0.8328 0.5000 0.0000  4 Mg 2.84-2.85, 6 Mo 2.88-2.99
Mo 0.6814 0.0000 0.0000  4 Mo 2.72-2.84, 6 Mg 2.88-2.99
Mg 0.9286 0.5000 0.5000  8 Mg 2.84-3.11, 2 Mo 3.09
Mg 0.3328 0.0000 0.0000  4 Mg 2.84-2.85, 6 Mo 2.88-2.99
Mo 0.1814 0.5000 0.0000  4 Mo 2.72-2.84, 6 Mg 2.88-2.99
Mg 0.1117 0.0000 0.5000  4 Mg 2.84-2.85, 6 Mo 2.88-2.99
Mg 0.4286 0.0000 0.5000  8 Mg 2.84-3.11, 2 Mo 3.09
Mo 0.7630 0.0000 0.5000  4 Mo 2.72-2.84, 6 Mg 2.88-2.99
Mo 0.2630 0.5000 0.5000  4 Mo 2.72-2.84, 6 Mg 2.88-2.99